Record 1
{
  "formula": "MoAuNO2",
  "functional": "GGA+U",
  "state": "optimized geometry",
  "lattice_angstrom": [[3.998, 0.000, 0.000], [0.000, 3.998, 0.000], [0.000, 0.000, 4.190]],
  "species": ["Mo", "Au", "N", "O", "O"],
  "fractional_positions": [[0.000, 0.000, 0.000], [0.500, 0.500, 0.500], [0.500, 0.500, 0.000], [0.000, 0.500, 0.500], [0.500, 0.000, 0.500]],
  "sg": "P4/mmm, No. 123",
  "dft_energy_ev_per_cell": -23.613,
  "dos_at_fermi_per_ev_atom": 0.275
}


Record 2
{
  "formula": "MoAuNO2",
  "functional": "GGA+U",
  "state": "optimized geometry",
  "lattice_angstrom": [[3.890, 0.000, 0.000], [0.000, 3.890, 0.000], [0.000, 0.000, 4.136]],
  "species": ["Mo", "Au", "N", "O", "O"],
  "fractional_positions": [[0.000, 0.000, 0.000], [0.500, 0.500, 0.500], [0.000, 0.000, 0.500], [0.000, 0.500, 0.000], [0.500, 0.000, 0.000]],
  "sg": "P4/mmm, No. 123",
  "dft_energy_ev_per_cell": -28.898,
  "dos_at_fermi_per_ev_atom": 0.473
}